GGA-PBEsol CsGe2Sb2, relaxed; symmetry = I4/mmm; N(E_F) = 1.444 states/eV/cell; raw formation energy = -0.124 eV/atom; magnetization = 0.00 μB/f.u.
1.0
-2.4749 2.4749 6.5749
2.4749 -2.4749 6.5749
2.4749 2.4749 -6.5749
Cs Ge Sb
1 2 2
direct
0.0000 0.0000 0.0000 Cs
0.2500 0.7500 0.5000 Ge
0.7500 0.2500 0.5000 Ge
0.3473 0.3473 0.0000 Sb
0.6527 0.6527 0.0000 Sb